1.
! LaReAs2 PBE optimized geometry; values from VASP
! * space-group type: R3m, No. 160
! * calculated density: 9.015 g/cm3
! * energy relative to the elements: -493.5 meV per atom
! * crystal system: trigonal
&SYSTEM
  ibrav = 0, nat = 4, ntyp = 3
/
ATOMIC_SPECIES
La 138.91 La.upf
Re 186.21 Re.upf
As 74.92 As.upf
CELL_PARAMETERS angstrom
2.097 1.211 5.743
-2.097 1.211 5.743
0.000 -2.421 5.743
ATOMIC_POSITIONS angstrom
La 0.000 0.000 0.000
Re 0.000 0.000 3.229
As 0.000 0.000 9.617
As 0.000 0.000 13.464

---

2.
! HfPd3Au2 PBE optimized geometry; values from VASP
! * space-group type: Pnnm, No. 58
! * calculated density: 14.390 g/cm3
! * energy relative to the elements: -459.0 meV per atom
! * crystal system: orthorhombic
&SYSTEM
  ibrav = 0, nat = 12, ntyp = 3
/
ATOMIC_SPECIES
Hf 178.49 Hf.upf
Pd 106.42 Pd.upf
Au 196.97 Au.upf
CELL_PARAMETERS angstrom
5.520 0.000 0.000
0.000 8.465 0.000
0.000 0.000 4.404
ATOMIC_POSITIONS angstrom
Hf 0.000 0.000 0.000
Hf 2.760 4.232 2.202
Pd 0.000 4.232 2.202
Pd 1.313 1.307 2.202
Pd 1.447 5.539 0.000
Pd 2.760 0.000 0.000
Pd 4.073 2.926 0.000
Pd 4.207 7.158 2.202
Au 1.286 2.840 0.000
Au 1.474 7.072 2.202
Au 4.046 1.393 2.202
Au 4.234 5.625 0.000

---

3.
! Er2InAg PBE optimized geometry; values from VASP
! * space-group type: P4/mmm, No. 123
! * calculated density: 9.347 g/cm3
! * energy relative to the elements: -401.3 meV per atom
! * crystal system: tetragonal
&SYSTEM
  ibrav = 0, nat = 4, ntyp = 3
/
ATOMIC_SPECIES
Er 167.26 Er.upf
In 114.82 In.upf
Ag 107.87 Ag.upf
CELL_PARAMETERS angstrom
3.606 0.000 0.000
0.000 3.606 0.000
0.000 0.000 7.614
ATOMIC_POSITIONS angstrom
Er 0.000 0.000 1.796
Er 0.000 0.000 5.818
In 1.803 1.803 3.807
Ag 1.803 1.803 0.000

---

4.
! CaPa4O10 PBE optimized geometry; values from VASP
! * space-group type: I4/mmm, No. 139
! * calculated density: 9.227 g/cm3
! * electronic total energy: -143.33 eV/cell
! * crystal system: tetragonal
&SYSTEM
  ibrav = 0, nat = 15, ntyp = 3
/
ATOMIC_SPECIES
Ca 40.08 Ca.upf
Pa 231.04 Pa.upf
O 16.00 O.upf
CELL_PARAMETERS angstrom
-1.922 1.922 13.688
1.922 -1.922 13.688
1.922 1.922 -13.688
ATOMIC_POSITIONS angstrom
Ca 0.000 0.000 0.000
Pa 0.000 0.000 5.452
Pa 0.000 0.000 11.069
Pa 0.000 0.000 16.307
Pa 0.000 0.000 21.924
O 1.922 0.000 1.505
O 1.922 0.000 4.144
O 1.922 0.000 6.844
O 1.922 0.000 9.544
O 1.922 0.000 12.183
O 0.000 1.922 1.505
O 0.000 1.922 4.144
O 0.000 1.922 6.844
O 0.000 1.922 9.544
O 0.000 1.922 12.183